Below is an optimized crystal structure of Pu3ThPt4, with properties calculated at the PBE level.

Unit cell a=10.3900 b=9.6232 c=3.5109 alpha=90.00 beta=90.53 gamma=90.00
Positions (direct):
Pu 0.0000 0.0000 0.0000
Pu 0.2854 0.2528 0.0113
Pu 0.2854 0.7472 0.0113
Pu 0.5000 0.5000 0.0000
Pu 0.7854 0.2472 0.0113
Pu 0.7854 0.7528 0.0113
Th 0.4990 0.0000 0.9995
Th 0.9990 0.5000 0.9995
Pt 0.0464 0.2508 0.5026
Pt 0.0464 0.7492 0.5026
Pt 0.2423 0.0000 0.5064
Pt 0.2424 0.5000 0.5079
Pt 0.5464 0.2492 0.5026
Pt 0.5464 0.7508 0.5026
Pt 0.7424 0.0000 0.5079
Pt 0.7423 0.5000 0.5064

Values from the calculation:
M_tot = 5.363 μB/f.u.

***

Below is an optimized crystal structure of PuTh2Pt, with properties calculated at the PBE level.

Unit cell a=3.7099 b=3.7099 c=7.5878 alpha=90.00 beta=90.00 gamma=90.00
Positions (direct):
Pu 0.0000 0.0000 0.0000
Th 0.5000 0.5000 0.2750
Th 0.5000 0.5000 0.7250
Pt 0.0000 0.0000 0.5000

Values from the calculation:
Energy above the most stable polymorph in this dataset = 0 meV per atom
M_tot = 5.380 μB/f.u.

***

Below is an optimized crystal structure of Pu5ThPt5, with properties calculated at the PBE level.

Unit cell a=7.1085 b=7.1085 c=8.1212 alpha=106.11 beta=106.11 gamma=47.94
Positions (direct):
Pu 0.0000 0.0000 0.0000
Pu 0.3288 0.3288 0.6611
Pu 0.3376 0.3376 0.1638
Pu 0.6624 0.6624 0.8362
Pu 0.6712 0.6712 0.3389
Th 0.0000 0.0000 0.5000
Pt 0.1657 0.1657 0.3246
Pt 0.1664 0.1664 0.8378
Pt 0.5000 0.5000 0.5000
Pt 0.8336 0.8336 0.1622
Pt 0.8343 0.8343 0.6754

Values from the calculation:
M_tot = 27.461 μB/f.u.

***

Below is an optimized crystal structure of PuThPt, with properties calculated at the PBE level.

Unit cell a=6.9911 b=6.9911 c=6.9911 alpha=90.00 beta=90.00 gamma=90.00
Positions (direct):
Pu 0.0000 0.0000 0.0000
Pu 0.0000 0.5000 0.5000
Pu 0.5000 0.0000 0.5000
Pu 0.5000 0.5000 0.0000
Th 0.0000 0.0000 0.5000
Th 0.0000 0.5000 0.0000
Th 0.5000 0.0000 0.0000
Th 0.5000 0.5000 0.5000
Pt 0.2500 0.2500 0.2500
Pt 0.2500 0.7500 0.7500
Pt 0.7500 0.2500 0.7500
Pt 0.7500 0.7500 0.2500

Values from the calculation:
Energy above the most stable polymorph in this dataset = 213 meV per atom
M_tot = 6.173 μB/f.u.

***

Below is an optimized crystal structure of PuThPt, with properties calculated at the PBE level.

Unit cell a=4.7676 b=4.7676 c=3.7166 alpha=90.00 beta=90.00 gamma=120.00
Positions (direct):
Pu 0.0000 0.0000 0.0000
Th 0.3333 0.6667 0.3697
Pt 0.6667 0.3333 0.7103

Values from the calculation:
Energy above the most stable polymorph in this dataset = 193 meV per atom
M_tot = 5.780 μB/f.u.

***

Below is an optimized crystal structure of Pu2ThPt, with properties calculated at the PBE level.

Unit cell a=3.5366 b=3.5366 c=31.0943 alpha=90.00 beta=90.00 gamma=120.00
Positions (direct):
Pu 0.0000 0.0000 0.1025
Pu 0.0000 0.0000 0.8975
Pu 0.3333 0.6667 0.5642
Pu 0.3333 0.6667 0.7692
Pu 0.6667 0.3333 0.2308
Pu 0.6667 0.3333 0.4358
Th 0.0000 0.0000 0.0000
Th 0.3333 0.6667 0.6667
Th 0.6667 0.3333 0.3333
Pt 0.0000 0.0000 0.5000
Pt 0.3333 0.6667 0.1667
Pt 0.6667 0.3333 0.8333

Values from the calculation:
Energy above the most stable polymorph in this dataset = 332 meV per atom
M_tot = 11.775 μB/f.u.

***

Number 1: formation energy from the elements -6.5 eV/f.u.. Number 2: formation energy from the elements -1.8 eV/f.u.. Number 3: formation energy from the elements -7.5 eV/f.u.. Number 4: formation energy from the elements -1.4 eV/f.u.. Number 5: formation energy from the elements -1.4 eV/f.u.. Number 6: formation energy from the elements 0.1 eV/f.u..